A relaxed structure of SrCa2P. Source: Alexandria via LeMat-Bulk, functional PBE.

a b c (Å): 4.688 4.688 11.079
angles (deg): 90.00 90.00 90.00
Space group I4/mmm (No. 139)
Asymmetric unit:
1 Sr 0.000 0.000 0.000 x2
2 Ca 0.000 0.500 0.250 x4
3 P 0.000 0.000 0.500 x2

N(E_F): 8.30 states/eV/cell
Formation enthalpy at 0 K: -0.214 eV/atom